Record 1
DFT (GGA-PBE) results for a relaxed structure of Ca2ZnCd12Ag3.

a = 14.4912 Å, b = 14.4912 Å, c = 14.4912 Å
α = 23.92°, β = 23.92°, γ = 23.92°
Last column: nearest neighbours and their distance in Å.
Sites, in units of the cell vectors:
Ag 0.5000 0.0000 0.0000  4 Cd 2.88, 4 Ag 3.00
Cd 0.6115 0.1142 0.1142  1 Zn 2.85, 6 Cd 2.99-3.06
Ag 0.0000 0.0000 0.5000  4 Cd 2.88, 4 Ag 3.00
Ca 0.3518 0.3518 0.3518  9 Cd 3.34-3.49, 3 Zn 3.55
Cd 0.3931 0.3931 0.8756  2 Ag 2.88, 6 Cd 2.90-3.11
Cd 0.3885 0.8858 0.8858  1 Zn 2.85, 6 Cd 2.99-3.06
Ag 0.0000 0.5000 0.0000  4 Cd 2.88, 4 Ag 3.00
Cd 0.8756 0.3931 0.3931  2 Ag 2.88, 6 Cd 2.90-3.11
Cd 0.1244 0.6069 0.6069  2 Ag 2.88, 6 Cd 2.90-3.11
Cd 0.8858 0.8858 0.3885  1 Zn 2.85, 6 Cd 2.99-3.06
Cd 0.1142 0.1142 0.6115  1 Zn 2.85, 6 Cd 2.99-3.06
Cd 0.3931 0.8756 0.3931  2 Ag 2.88, 6 Cd 2.90-3.11
Zn 0.0000 0.0000 0.0000  6 Cd 2.85
Cd 0.1142 0.6115 0.1142  1 Zn 2.85, 6 Cd 2.99-3.06
Ca 0.6482 0.6482 0.6482  9 Cd 3.34-3.49, 3 Zn 3.55
Cd 0.6069 0.1244 0.6069  2 Ag 2.88, 6 Cd 2.90-3.11
Cd 0.8858 0.3885 0.8858  1 Zn 2.85, 6 Cd 2.99-3.06
Cd 0.6069 0.6069 0.1244  2 Ag 2.88, 6 Cd 2.90-3.11

Values from the calculation:
ΔE_f = -0.0299 eV/atom
Fermi-level density of states = 6.2 states/eV/cell

Record 2
DFT (GGA-PBE) results for a relaxed structure of CaCeAg.

a = 3.6022 Å, b = 3.6022 Å, c = 7.2990 Å
α = 104.29°, β = 104.29°, γ = 90.00°
Last column: nearest neighbours and their distance in Å.
Sites, in units of the cell vectors:
Ca 0.0259 0.0259 0.0518  4 Ag 3.18
Ce 0.3087 0.3087 0.6174  4 Ag 3.21
Ag 0.6654 0.6654 0.3308  4 Ca 3.18, 4 Ce 3.21

Values from the calculation:
Energy above the lowest structure with this stoichiometry = 91 meV/atom
ΔE_f = -0.0126 eV/atom
Fermi-level density of states = 7.3 states/eV/cell

Record 3
DFT (GGA-PBE) results for a relaxed structure of CaCeAg.

a = 3.5089 Å, b = 5.3184 Å, c = 8.9580 Å
α = 90.00°, β = 101.29°, γ = 90.00°
Last column: nearest neighbours and their distance in Å.
Sites, in units of the cell vectors:
Ce 0.7707 0.2500 0.5413  2 Ag 3.17, 6 Ce 3.27-3.51
Ag 0.4207 0.2500 0.8415  2 Ce 3.17, 6 Ca 3.19-3.24, 2 Ag 3.51
Ca 0.9244 0.7500 0.8488  6 Ag 3.19-3.24, 2 Ca 3.51
Ce 0.2293 0.7500 0.4587  2 Ag 3.17, 6 Ce 3.27-3.51
Ca 0.0756 0.2500 0.1512  6 Ag 3.19-3.24, 2 Ca 3.51
Ag 0.5793 0.7500 0.1585  2 Ce 3.17, 6 Ca 3.19-3.24, 2 Ag 3.51

Values from the calculation:
Energy above the lowest structure with this stoichiometry = 0 meV/atom
ΔE_f = -0.1036 eV/atom
Fermi-level density of states = 11.6 states/eV/cell

Record 4
DFT (GGA-PBE) results for a relaxed structure of CaCeAg3.

a = 3.6422 Å, b = 4.8302 Å, c = 14.3262 Å
α = 90.00°, β = 97.30°, γ = 90.00°
Last column: nearest neighbours and their distance in Å.
Sites, in units of the cell vectors:
Ce 0.9262 0.7500 0.8523  12 Ag 3.30-3.41, 2 Ce 3.64
Ag 0.6206 0.7500 0.2412  3 Ag 2.76-2.87, 2 Ca 3.08
Ag 0.3794 0.2500 0.7588  3 Ag 2.76-2.87, 2 Ca 3.08
Ca 0.2081 0.7500 0.4161  7 Ag 3.08-3.32
Ag 0.5236 0.7500 0.0471  3 Ag 2.76
Ag 0.3249 0.7500 0.6498  2 Ag 2.87, 4 Ca 3.17
Ag 0.4764 0.2500 0.9529  3 Ag 2.76
Ca 0.7919 0.2500 0.5839  7 Ag 3.08-3.32
Ce 0.0738 0.2500 0.1477  12 Ag 3.30-3.41, 2 Ce 3.64
Ag 0.6751 0.2500 0.3502  2 Ag 2.87, 4 Ca 3.17

Values from the calculation:
ΔE_f = -0.1855 eV/atom
Fermi-level density of states = 18.5 states/eV/cell

Record 5
DFT (GGA-PBE) results for a relaxed structure of Ca4CeAg5.

a = 3.7176 Å, b = 3.7176 Å, c = 18.6306 Å
α = 90.00°, β = 90.00°, γ = 90.00°
Last column: nearest neighbours and their distance in Å.
Sites, in units of the cell vectors:
Ca 0.0000 0.0000 0.2023  8 Ag 3.23
Ag 0.5000 0.5000 0.1012  4 Ce 3.23, 4 Ca 3.23
Ca 0.0000 0.0000 0.7977  8 Ag 3.23
Ag 0.5000 0.5000 0.8988  4 Ce 3.23, 4 Ca 3.23
Ag 0.5000 0.5000 0.6972  8 Ca 3.21-3.23
Ag 0.5000 0.5000 0.5000  8 Ca 3.21
Ca 0.0000 0.0000 0.5986  8 Ag 3.21
Ag 0.5000 0.5000 0.3028  8 Ca 3.21-3.23
Ca 0.0000 0.0000 0.4014  8 Ag 3.21
Ce 0.0000 0.0000 0.0000  8 Ag 3.23

Values from the calculation:
ΔE_f = -0.2609 eV/atom
Fermi-level density of states = 13.2 states/eV/cell

Record 6
DFT (GGA-PBE) results for a relaxed structure of Ca2CeAg3.

a = 3.6778 Å, b = 3.6778 Å, c = 11.4070 Å
α = 90.00°, β = 90.00°, γ = 90.00°
Last column: nearest neighbours and their distance in Å.
Sites, in units of the cell vectors:
Ag 0.0000 0.0000 0.3319  4 Ca 3.22, 4 Ce 3.23
Ce 0.5000 0.5000 0.5000  8 Ag 3.23
Ca 0.5000 0.5000 0.1657  8 Ag 3.21-3.22
Ag 0.0000 0.0000 0.0000  8 Ca 3.21
Ca 0.5000 0.5000 0.8343  8 Ag 3.21-3.22
Ag 0.0000 0.0000 0.6681  4 Ca 3.22, 4 Ce 3.23

Values from the calculation:
ΔE_f = -0.2274 eV/atom
Fermi-level density of states = 9.5 states/eV/cell

Record 7
DFT (GGA-PBE) results for a relaxed structure of Ca2CeAg6.

a = 3.5754 Å, b = 8.3218 Å, c = 8.3218 Å
α = 60.01°, β = 90.02°, γ = 90.02°
Last column: nearest neighbours and their distance in Å.
Sites, in units of the cell vectors:
Ag 0.5000 0.6659 0.3341  3 Ag 2.76-2.78
Ce 0.0000 0.0000 0.0000  12 Ag 3.30-3.31, 2 Ce 3.58
Ca 0.0000 0.6667 0.6667  12 Ag 3.29-3.30, 2 Ca 3.58
Ag 0.5009 0.0000 0.3341  3 Ag 2.76-2.78
Ag 0.4991 0.6659 0.0000  3 Ag 2.76-2.78
Ag 0.5000 0.3341 0.6659  3 Ag 2.76-2.78
Ag 0.4991 0.0000 0.6659  3 Ag 2.76-2.78
Ca 0.0000 0.3333 0.3333  12 Ag 3.29-3.30, 2 Ca 3.58
Ag 0.5009 0.3341 0.0000  3 Ag 2.76-2.78

Values from the calculation:
ΔE_f = -0.2159 eV/atom
Fermi-level density of states = 9.6 states/eV/cell

Record 8
DFT (GGA-PBE) results for a relaxed structure of Ca5CeAg6.

a = 5.2845 Å, b = 9.1126 Å, c = 9.1126 Å
α = 120.07°, β = 106.94°, γ = 106.94°
Last column: nearest neighbours and their distance in Å.
Sites, in units of the cell vectors:
Ca 0.5000 0.5000 0.5000  8 Ag 3.21-3.27
Ag 0.7528 0.5890 0.9186  1 Ce 3.18, 7 Ca 3.21-3.25
Ag 0.7395 0.2396 0.2396  2 Ce 3.18-3.19, 6 Ca 3.21-3.27, 1 Ag 3.54
Ag 0.2472 0.4110 0.0814  1 Ce 3.18, 7 Ca 3.21-3.25
Ag 0.2605 0.7604 0.7604  2 Ce 3.18-3.19, 6 Ca 3.21-3.27, 1 Ag 3.54
Ag 0.7528 0.9186 0.5890  1 Ce 3.18, 7 Ca 3.21-3.25
Ca 0.0000 0.3353 0.6647  8 Ag 3.23-3.25
Ag 0.2472 0.0814 0.4110  1 Ce 3.18, 7 Ca 3.21-3.25
Ca 0.5000 0.8305 0.1695  8 Ag 3.21-3.22
Ca 0.5000 0.1695 0.8305  8 Ag 3.21-3.22
Ca 0.0000 0.6647 0.3353  8 Ag 3.23-3.25
Ce 0.0000 0.0000 0.0000  8 Ag 3.18-3.19

Values from the calculation:
ΔE_f = -0.2680 eV/atom
Fermi-level density of states = 13.4 states/eV/cell

Record 9
DFT (GGA-PBE) results for a relaxed structure of CaCeAg2.

a = 3.6570 Å, b = 3.6570 Å, c = 7.6981 Å
α = 90.00°, β = 90.00°, γ = 90.00°
Last column: nearest neighbours and their distance in Å.
Sites, in units of the cell vectors:
Ag 0.0000 0.0000 0.2498  4 Ce 3.22, 4 Ca 3.22
Ca 0.5000 0.5000 0.5000  8 Ag 3.22
Ce 0.5000 0.5000 0.0000  8 Ag 3.22
Ag 0.0000 0.0000 0.7502  4 Ce 3.22, 4 Ca 3.22

Values from the calculation:
Energy above the lowest structure with this stoichiometry = 3 meV/atom
ΔE_f = -0.1841 eV/atom
Fermi-level density of states = 8.5 states/eV/cell

Record 10
DFT (GGA-PBE) results for a relaxed structure of CaCe2Ag6.

a = 3.3233 Å, b = 8.4820 Å, c = 8.4820 Å
α = 60.04°, β = 89.99°, γ = 89.99°
Last column: nearest neighbours and their distance in Å.
Sites, in units of the cell vectors:
Ag 0.5000 0.6678 0.3322  3 Ag 2.82-2.85
Ce 0.0000 0.6667 0.6667  12 Ag 3.28-3.29, 2 Ce 3.32
Ag 0.5014 0.0001 0.3319  3 Ag 2.82-2.85
Ag 0.4986 0.9999 0.6681  3 Ag 2.82-2.85
Ca 0.0000 0.0000 0.0000  12 Ag 3.27, 2 Ca 3.32
Ag 0.4986 0.6681 0.9999  3 Ag 2.82-2.85
Ag 0.5000 0.3322 0.6678  3 Ag 2.82-2.85
Ag 0.5014 0.3319 0.0001  3 Ag 2.82-2.85
Ce 0.0000 0.3333 0.3333  12 Ag 3.28-3.29, 2 Ce 3.32

Values from the calculation:
ΔE_f = -0.1796 eV/atom
Fermi-level density of states = 15.1 states/eV/cell

Record 11
DFT (GGA-PBE) results for a relaxed structure of CaCeAg2.

a = 5.2660 Å, b = 5.2660 Å, c = 5.2660 Å
α = 60.00°, β = 60.00°, γ = 60.00°
Last column: nearest neighbours and their distance in Å.
Sites, in units of the cell vectors:
Ca 0.5000 0.5000 0.5000  8 Ag 3.22
Ag 0.2500 0.2500 0.2500  4 Ce 3.22, 4 Ca 3.22
Ce 0.0000 0.0000 0.0000  8 Ag 3.22
Ag 0.7500 0.7500 0.7500  4 Ca 3.22, 4 Ce 3.22

Values from the calculation:
Energy above the lowest structure with this stoichiometry = 0 meV/atom
ΔE_f = -0.1875 eV/atom
Fermi-level density of states = 7.8 states/eV/cell

Record 12
DFT (GGA-PBE) results for a relaxed structure of Ca3CeAg4.

a = 5.2690 Å, b = 5.2690 Å, c = 9.0951 Å
α = 73.16°, β = 73.16°, γ = 60.00°
Last column: nearest neighbours and their distance in Å.
Sites, in units of the cell vectors:
Ag 0.8764 0.8764 0.3708  1 Ce 3.18, 7 Ca 3.20-3.24
Ag 0.1236 0.1236 0.6292  1 Ce 3.18, 7 Ca 3.20-3.24
Ag 0.6265 0.6265 0.1204  5 Ca 3.20-3.25, 3 Ce 3.21
Ca 0.5000 0.5000 0.5000  8 Ag 3.24-3.25
Ag 0.3735 0.3735 0.8796  5 Ca 3.20-3.25, 3 Ce 3.21
Ca 0.7511 0.7511 0.7467  8 Ag 3.20-3.25
Ce 0.0000 0.0000 0.0000  8 Ag 3.18-3.21
Ca 0.2489 0.2489 0.2533  8 Ag 3.20-3.25

Values from the calculation:
ΔE_f = -0.2481 eV/atom
Fermi-level density of states = 10.5 states/eV/cell

Record 13
DFT (GGA-PBE) results for a relaxed structure of CaCeAg2Cl8.

a = 6.5981 Å, b = 6.4046 Å, c = 8.2119 Å
α = 89.96°, β = 89.96°, γ = 94.99°
Last column: nearest neighbours and their distance in Å.
Sites, in units of the cell vectors:
Cl 0.8349 0.2094 0.7613  1 Ce 2.66, 1 Ca 2.80
Cl 0.6788 0.7161 0.0002  1 Ce 2.67, 2 Ag 2.73-2.74
Ca 0.0000 0.0000 0.5000  6 Cl 2.68-2.80
Cl 0.3261 0.2808 0.4998  2 Ag 2.64, 1 Ca 2.68
Cl 0.3212 0.2839 0.9998  1 Ce 2.67, 2 Ag 2.73-2.74
Ag 0.5002 0.5002 0.2573  4 Cl 2.64-2.74
Cl 0.8348 0.2093 0.2386  1 Ce 2.66, 1 Ca 2.80
Cl 0.1652 0.7907 0.7614  1 Ce 2.66, 1 Ca 2.80
Ag 0.4998 0.4998 0.7427  4 Cl 2.64-2.74
Cl 0.1651 0.7906 0.2387  1 Ce 2.66, 1 Ca 2.80
Ce 0.0000 0.0000 0.0000  6 Cl 2.66-2.67
Cl 0.6739 0.7192 0.5002  2 Ag 2.64, 1 Ca 2.68

Values from the calculation:
Uncorrected energy = -3.91 eV per atom
Fermi-level density of states = 4.5 states/eV/cell

Record 14
DFT (GGA-PBE) results for a relaxed structure of CaCeCuAg.

a = 5.1544 Å, b = 5.1544 Å, c = 5.1544 Å
α = 60.00°, β = 60.00°, γ = 60.00°
Last column: nearest neighbours and their distance in Å.
Sites, in units of the cell vectors:
Ca 0.2500 0.2500 0.2500  4 Cu 3.16, 4 Ag 3.16
Cu 0.0000 0.0000 0.0000  4 Ce 3.16, 4 Ca 3.16
Ce 0.7500 0.7500 0.7500  4 Cu 3.16, 4 Ag 3.16
Ag 0.5000 0.5000 0.5000  4 Ca 3.16, 4 Ce 3.16

Values from the calculation:
ΔE_f = -0.0986 eV/atom
Fermi-level density of states = 7.1 states/eV/cell

Record 15
DFT (GGA-PBE) results for a relaxed structure of CaCeGaAg.

a = 5.2165 Å, b = 5.2165 Å, c = 5.2165 Å
α = 60.00°, β = 60.00°, γ = 60.00°
Last column: nearest neighbours and their distance in Å.
Sites, in units of the cell vectors:
Ce 0.0000 0.0000 0.0000  4 Ga 3.19, 4 Ag 3.19
Ga 0.7500 0.7500 0.7500  4 Ce 3.19, 4 Ca 3.19
Ag 0.2500 0.2500 0.2500  4 Ce 3.19, 4 Ca 3.19
Ca 0.5000 0.5000 0.5000  4 Ag 3.19, 4 Ga 3.19

Values from the calculation:
ΔE_f = -0.3312 eV/atom
Fermi-level density of states = 7.1 states/eV/cell

Record 16
DFT (GGA-PBE) results for a relaxed structure of CaCeInAg.

a = 5.3706 Å, b = 5.3706 Å, c = 5.3706 Å
α = 60.00°, β = 60.00°, γ = 60.00°
Last column: nearest neighbours and their distance in Å.
Sites, in units of the cell vectors:
Ce 0.0000 0.0000 0.0000  4 In 3.29, 4 Ag 3.29
In 0.7500 0.7500 0.7500  4 Ce 3.29, 4 Ca 3.29
Ag 0.2500 0.2500 0.2500  4 Ce 3.29, 4 Ca 3.29
Ca 0.5000 0.5000 0.5000  4 In 3.29, 4 Ag 3.29

Values from the calculation:
ΔE_f = -0.2974 eV/atom
Fermi-level density of states = 8.2 states/eV/cell

Record 17
DFT (GGA-PBE) results for a relaxed structure of CaCeAgIr.

a = 5.0365 Å, b = 5.0365 Å, c = 5.0365 Å
α = 60.00°, β = 60.00°, γ = 60.00°
Last column: nearest neighbours and their distance in Å.
Sites, in units of the cell vectors:
Ir 0.7500 0.7500 0.7500  4 Ca 3.08, 4 Ce 3.08
Ag 0.2500 0.2500 0.2500  4 Ce 3.08, 4 Ca 3.08
Ca 0.5000 0.5000 0.5000  4 Ir 3.08, 4 Ag 3.08
Ce 0.0000 0.0000 0.0000  4 Ir 3.08, 4 Ag 3.08

Values from the calculation:
ΔE_f = -0.3357 eV/atom
Fermi-level density of states = 7.5 states/eV/cell

Record 18
DFT (GGA-PBE) results for a relaxed structure of LiCaCeAg.

a = 5.3134 Å, b = 5.3134 Å, c = 5.3134 Å
α = 60.00°, β = 60.00°, γ = 60.00°
Last column: nearest neighbours and their distance in Å.
Sites, in units of the cell vectors:
Ag 0.2500 0.2500 0.2500  4 Ce 3.25, 4 Ca 3.25
Li 0.7500 0.7500 0.7500  4 Ce 3.25, 4 Ca 3.25
Ce 0.5000 0.5000 0.5000  4 Li 3.25, 4 Ag 3.25
Ca 0.0000 0.0000 0.0000  4 Ag 3.25, 4 Li 3.25

Values from the calculation:
ΔE_f = 0.0082 eV/atom
Fermi-level density of states = 8.4 states/eV/cell

Record 19
DFT (GGA-PBE) results for a relaxed structure of CaCe2Ag2Pb2.

a = 4.8899 Å, b = 4.8899 Å, c = 9.6053 Å
α = 75.25°, β = 75.25°, γ = 60.00°
Last column: nearest neighbours and their distance in Å.
Sites, in units of the cell vectors:
Ca 0.0000 0.0000 0.0000  6 Pb 3.38
Ag 0.4370 0.4370 0.6890  3 Pb 3.00, 3 Ce 3.04
Pb 0.2661 0.2661 0.2017  3 Ag 3.00, 1 Ce 3.35
Ag 0.5630 0.5630 0.3110  3 Pb 3.00, 3 Ce 3.04
Ce 0.1446 0.1446 0.5661  3 Ag 3.04, 3 Ce 3.07, 1 Pb 3.35
Ce 0.8554 0.8554 0.4339  3 Ag 3.04, 3 Ce 3.07, 1 Pb 3.35
Pb 0.7339 0.7339 0.7983  3 Ag 3.00, 1 Ce 3.35

Values from the calculation:
ΔE_f = -0.2502 eV/atom
Fermi-level density of states = 12.1 states/eV/cell

Record 20
DFT (GGA-PBE) results for a relaxed structure of CaCeAgSb.

a = 5.3630 Å, b = 5.3630 Å, c = 5.3630 Å
α = 60.00°, β = 60.00°, γ = 60.00°
Last column: nearest neighbours and their distance in Å.
Sites, in units of the cell vectors:
Ca 0.5000 0.5000 0.5000  4 Sb 3.28, 4 Ag 3.28
Ce 0.0000 0.0000 0.0000  4 Ag 3.28, 4 Sb 3.28
Ag 0.7500 0.7500 0.7500  4 Ce 3.28, 4 Ca 3.28
Sb 0.2500 0.2500 0.2500  4 Ce 3.28, 4 Ca 3.28

Values from the calculation:
Uncorrected energy = -4.27 eV per atom
Fermi-level density of states = 9.1 states/eV/cell